# K2MoCl2F4

A relaxed K2MoCl2F4 crystal (PBE with a Hubbard U, the Alexandria database).

Structure (CIF):
```
data_K2MoCl2F4
_space_group_name_H-M_alt 'P 1'
_space_group_IT_number 1
_cell_length_a 6.8015
_cell_length_b 6.8015
_cell_length_c 5.1979
_cell_angle_alpha 93.52
_cell_angle_beta 93.52
_cell_angle_gamma 52.83
loop_
_space_group_symop_operation_xyz
'x,y,z'
loop_
_atom_site_label
_atom_site_fract_x
_atom_site_fract_y
_atom_site_fract_z
K1 0.1394 0.1394 0.1465
K2 0.8606 0.8606 0.8535
Mo1 0.5000 0.5000 0.5000
Cl1 0.3146 0.3146 0.6685
Cl2 0.6854 0.6854 0.3315
F1 0.2154 0.6895 0.2544
F2 0.3105 0.7846 0.7456
F3 0.6895 0.2154 0.2544
F4 0.7846 0.3105 0.7456
```

Summary:
Density ... 2.79 g/cm³
DFT total energy ... -4.60 eV per atom